This record from the Alexandria database describes a relaxed TlIn2Hg4Pb2 crystal. The functional is PBE.

The calculation puts the density of states at the Fermi level at 0.5637 states/eV/atom. The formation energy comes out at 0.020 eV per atom. The value obtained for the total energy is -1.810 eV/atom.

It has space group P3m1 (No. 156), with a = 3.4348 Å, b = 3.4348 Å, c = 25.0674 Å, α = 90.00°, β = 90.00° and γ = 120.00°. The inequivalent atoms are Tl at (0.0000, 0.0000, 0.0000), In at (0.0000, 0.0000, 0.6508), In at (0.6667, 0.3333, 0.3348), Hg at (0.0000, 0.0000, 0.2303), Hg at (0.0000, 0.0000, 0.4425), Hg at (0.6667, 0.3333, 0.5445), Hg at (0.6667, 0.3333, 0.7582), Pb at (0.6667, 0.3333, 0.1193) and Pb at (0.6667, 0.3333, 0.8814).

---

This record from the Alexandria database describes a relaxed AcLa7Tb12 crystal. The functional is PBE.

The calculation puts the density of states at the Fermi level at 1.5886 states/eV/atom. The formation energy comes out at 0.568 eV per atom. The value obtained for the total energy is -4.140 eV/atom.

It has space group Im-3 (No. 204), with a = 11.466 Å, b = 11.466 Å, c = 11.466 Å, α = 90.00°, β = 90.00° and γ = 90.00°. The inequivalent atoms are Ac at (0.000, 0.000, 0.000), La at (0.000, 0.000, 0.500), La at (0.250, 0.250, 0.250) and Tb at (0.000, 0.252, 0.253).